The following is a DFT calculation (PBE) of a geometry-optimized Re2AgAs structure.

Summary:
For the density of states at the Fermi level, the calculation gives 0.784 states/eV per atom. The value obtained for the total energy is -29.670 eV per cell.

a = 5.380 Å, b = 5.380 Å, c = 5.380 Å
α = 147.43°, β = 130.46°, γ = 60.55°
Fractional positions:
Re 0.230 0.730 0.500
Re 0.988 0.988 0.000
Ag 0.512 0.512 0.000
As 0.769 0.269 0.500